Computed, not measured: Sr3AgPb after structural relaxation at the PBE level of DFT.

## Properties
formation energy = -0.2696 eV/atom
density = 4.76 g/cm3
M_tot = 0.0 μB/f.u.
relative energy among the computed polymorphs = 0.00 eV/f.u.
total DFT energy (no corrections) = -2.591 eV per atom

Cell lengths 11.1278, 16.5587, 4.3760 Å; angles 90.00, 90.00, 90.00 degrees
Space group C222 (No. 21)
Symmetry-distinct sites (fractional):
Sr: 0.0000 0.1617 0.0000 [4 per cell]
Sr: 0.1865 0.3858 0.4994 [8 per cell]
Ag: 0.2500 0.2500 0.9992 [4 per cell]
Pb: 0.0000 0.0000 0.5000 [2 per cell]
Pb: 0.0000 0.5000 0.0000 [2 per cell]